First-principles (PBE+U) data for PmCr2SbO6 after structural relaxation, as listed in the Alexandria database.

Values from the calculation:
Space-group type   P1, No. 1
Magnetic moment   6.000 μB per formula unit
E_tot   -0.5499 Ry/atom

Cell lengths 5.513, 5.550, 5.553 Å; angles 60.32, 60.67, 60.33 degrees
Element x y z (fractional)
Pm  0.000  0.000  0.000
Cr  0.226  0.263  0.228
Cr  0.735  0.775  0.728
Sb  0.503  0.540  0.536
O  0.058  0.568  0.899
O  0.403  0.965  0.552
O  0.439  0.961  0.033
O  0.574  0.424  0.938
O  0.893  0.103  0.445
O  0.949  0.583  0.415